(1)
Tb4MgSc5: optimized geometry, PBE-GGA.

abc: 10.213 10.213 5.419
angles: 90.00 90.00 90.00
Space group I4mm (No. 107)
Inequivalent atoms, fractional coordinates:
Tb 0.000 0.317 0.000 [8 per cell]
Mg 0.000 0.000 0.738 [2 per cell]
Sc 0.000 0.000 0.225 [2 per cell]
Sc 0.185 0.185 0.497 [8 per cell]

Output
formation energy from the elements	0.1856	eV per atom
E_tot	-99.8	eV for the cell shown
mass density	5.20	Mg/m³
crystal system	tetragonal

(2)
TiGe2BiRu: optimized geometry, PBE-GGA.

abc: 5.326 5.326 5.151
angles: 90.00 90.00 90.00
Space group P4/mmm (No. 123)
Inequivalent atoms, fractional coordinates:
Ti 0.000 0.000 0.000 [1 per cell]
Ge 0.000 0.500 0.500 [2 per cell]
Bi 0.000 0.000 0.500 [1 per cell]
Ru 0.500 0.500 0.000 [1 per cell]

Output
formation energy from the elements	1.8912	eV per atom
E_tot	-20.8	eV for the cell shown
mass density	5.72	Mg/m³
crystal system	tetragonal

(3)
LiHo5Se6: optimized geometry, PBE-GGA.

abc: 6.981 12.086 7.000
angles: 90.00 109.47 90.00
Space group C2/m (No. 12)
Inequivalent atoms, fractional coordinates:
Li 0.000 0.000 0.000 [2 per cell]
Ho 0.000 0.167 0.500 [4 per cell]
Ho 0.000 0.335 0.000 [4 per cell]
Ho 0.000 0.500 0.500 [2 per cell]
Se 0.241 0.000 0.757 [4 per cell]
Se 0.243 0.162 0.245 [8 per cell]

Output
E_tot	-133.0	eV for the cell shown
mass density	7.79	Mg/m³
crystal system	monoclinic

(4)
Ba2RuPb: optimized geometry, PBE-GGA.

abc: 4.443 5.577 10.294
angles: 90.00 90.00 90.00
Space group Immm (No. 71)
Inequivalent atoms, fractional coordinates:
Ba 0.000 0.000 0.208 [4 per cell]
Ru 0.000 0.500 0.500 [2 per cell]
Pb 0.000 0.500 0.000 [2 per cell]

Output
formation energy from the elements	0.3226	eV per atom
E_tot	-31.1	eV for the cell shown
mass density	7.59	Mg/m³
crystal system	orthorhombic

(5)
SrLa2Pb: optimized geometry, PBE-GGA.

abc: 5.064 5.064 10.884
angles: 90.00 90.00 90.00
Space group I-4m2 (No. 119)
Inequivalent atoms, fractional coordinates:
Sr 0.000 0.000 0.000 [2 per cell]
La 0.000 0.000 0.500 [2 per cell]
La 0.000 0.500 0.750 [2 per cell]
Pb 0.000 0.500 0.250 [2 per cell]

Output
formation energy from the elements	-0.2211	eV per atom
E_tot	-32.3	eV for the cell shown
mass density	6.81	Mg/m³
crystal system	tetragonal

(6)
MgSCl2F: optimized geometry, PBE-GGA.

abc: 4.797 4.797 5.334
angles: 90.00 90.00 90.00
Space group P4/mmm (No. 123)
Inequivalent atoms, fractional coordinates:
Mg 0.000 0.000 0.000 [1 per cell]
S 0.000 0.000 0.500 [1 per cell]
Cl 0.000 0.500 0.000 [2 per cell]
F 0.500 0.500 0.500 [1 per cell]

Output
ΔE to the lowest computed polymorph	0.0	meV/atom
E_tot	-13.2	eV for the cell shown
mass density	1.98	Mg/m³
crystal system	tetragonal

(7)
NaGa3: optimized geometry, PBE-GGA.

abc: 4.308 4.308 4.308
angles: 90.00 90.00 90.00
Space group Pm-3m (No. 221)
Inequivalent atoms, fractional coordinates:
Na 0.000 0.000 0.000 [1 per cell]
Ga 0.000 0.500 0.500 [3 per cell]

Output
formation energy from the elements	-0.0155	eV per atom
E_tot	-10.5	eV for the cell shown
mass density	4.82	Mg/m³
crystal system	cubic

(8)
SmCd4Pt4: optimized geometry, PBE-GGA.

abc: 8.798 8.798 5.451
angles: 90.00 90.00 90.00
Space group P4_2/n (No. 86, origin choice 2)
Inequivalent atoms, fractional coordinates:
Sm 0.250 0.250 0.250 [2 per cell]
Cd 0.088 0.647 0.142 [8 per cell]
Pt 0.036 0.613 0.648 [8 per cell]

Output
formation energy from the elements	-0.2891	eV per atom
E_tot	-70.3	eV for the cell shown
mass density	10.87	Mg/m³
crystal system	tetragonal

(9)
Tb2Si4Tc5: optimized geometry, PBE-GGA.

abc: 5.664 10.014 13.589
angles: 90.00 90.00 90.00
Space group Fmmm (No. 69)
Inequivalent atoms, fractional coordinates:
Tb 0.000 0.000 0.131 [8 per cell]
Si 0.000 0.144 0.364 [16 per cell]
Tc 0.000 0.000 0.500 [4 per cell]
Tc 0.250 0.250 0.000 [8 per cell]
Tc 0.250 0.250 0.250 [8 per cell]

Output
E_tot	-351.6	eV for the cell shown
mass density	7.93	Mg/m³
crystal system	orthorhombic

(10)
TlFeIr2: optimized geometry, PBE-GGA.

abc: 2.857 4.774 9.392
angles: 90.00 90.00 90.00
Space group Immm (No. 71)
Inequivalent atoms, fractional coordinates:
Tl 0.000 0.000 0.000 [2 per cell]
Fe 0.000 0.000 0.500 [2 per cell]
Ir 0.000 0.500 0.231 [4 per cell]

Output
formation energy from the elements	0.4360	eV per atom
ΔE to the lowest computed polymorph	131.9	meV/atom
E_tot	-53.6	eV for the cell shown
mass density	16.71	Mg/m³
crystal system	orthorhombic

(11)
Y7Tm4Pu: optimized geometry, PBE-GGA.

abc: 16.345 5.804 9.378
angles: 90.00 120.46 90.00
Space group C2/m (No. 12)
Inequivalent atoms, fractional coordinates:
Y 0.000 0.000 0.000 [2 per cell]
Y 0.061 0.500 0.717 [4 per cell]
Y 0.167 0.500 0.341 [4 per cell]
Y 0.208 0.000 0.882 [4 per cell]
Tm 0.090 0.000 0.454 [4 per cell]
Tm 0.237 0.000 0.266 [4 per cell]
Pu 0.000 0.500 0.000 [2 per cell]

Output
formation energy from the elements	0.2524	eV per atom
E_tot	-148.9	eV for the cell shown
mass density	6.68	Mg/m³
crystal system	monoclinic

(12)
NpBiSb2: optimized geometry, PBE-GGA.

abc: 4.5379 4.5379 21.7996
angles: 90.00 90.00 120.00
Space group R3m (No. 160, hexagonal axes)
Inequivalent atoms, fractional coordinates:
Np 0.0000 0.0000 0.0000 [3 per cell]
Bi 0.0000 0.0000 0.1681 [3 per cell]
Sb 0.0000 0.0000 0.4099 [3 per cell]
Sb 0.0000 0.0000 0.5898 [3 per cell]

Output
ΔE to the lowest computed polymorph	165.5	meV/atom
E_tot	-74.1	eV for the cell shown
mass density	8.84	Mg/m³
crystal system	trigonal

(13)
Pm2Ge4Ir: optimized geometry, PBE-GGA.

abc: 5.968 5.968 8.989
angles: 90.00 90.00 90.00
Space group I4mm (No. 107)
Inequivalent atoms, fractional coordinates:
Pm 0.000 0.500 0.000 [4 per cell]
Ge 0.211 0.211 0.250 [8 per cell]
Ir 0.000 0.000 0.749 [2 per cell]

Output
formation energy from the elements	-0.4712	eV per atom
ΔE to the lowest computed polymorph	26.2	meV/atom
E_tot	-80.3	eV for the cell shown
mass density	8.02	Mg/m³
crystal system	tetragonal

(14)
RbLaIr3: optimized geometry, PBE-GGA.

abc: 4.929 4.929 4.929
angles: 90.00 90.00 90.00
Space group Pm-3m (No. 221)
Inequivalent atoms, fractional coordinates:
Rb 0.000 0.000 0.000 [1 per cell]
La 0.500 0.500 0.500 [1 per cell]
Ir 0.000 0.000 0.500 [3 per cell]

Output
formation energy from the elements	2.0430	eV per atom
ΔE to the lowest computed polymorph	491.8	meV/atom
E_tot	-22.3	eV for the cell shown
mass density	11.11	Mg/m³
crystal system	cubic

(15)
BaCdRe2: optimized geometry, PBE-GGA.

abc: 5.918 10.648 2.846
angles: 90.00 111.17 90.00
Space group C2/m (No. 12)
Inequivalent atoms, fractional coordinates:
Ba 0.000 0.000 0.000 [2 per cell]
Cd 0.000 0.500 0.000 [2 per cell]
Re 0.250 0.250 0.500 [4 per cell]

Output
formation energy from the elements	1.3649	eV per atom
E_tot	-44.5	eV for the cell shown
mass density	12.36	Mg/m³
crystal system	monoclinic

(16)
LiSnHgC2: optimized geometry, PBE-GGA.

abc: 4.133 4.133 4.782
angles: 90.00 90.00 90.00
Space group P4/mmm (No. 123)
Inequivalent atoms, fractional coordinates:
Li 0.000 0.000 0.000 [1 per cell]
Sn 0.500 0.500 0.500 [1 per cell]
Hg 0.000 0.000 0.500 [1 per cell]
C 0.000 0.500 0.000 [2 per cell]

Output
formation energy from the elements	2.0189	eV per atom
E_tot	-14.6	eV for the cell shown
mass density	7.12	Mg/m³
crystal system	tetragonal

(17)
TlZnSi2C: optimized geometry, PBE-GGA.

abc: 3.977 3.977 5.711
angles: 90.00 90.00 90.00
Space group P4/mmm (No. 123)
Inequivalent atoms, fractional coordinates:
Tl 0.000 0.000 0.000 [1 per cell]
Zn 0.500 0.500 0.000 [1 per cell]
Si 0.000 0.500 0.500 [2 per cell]
C 0.000 0.000 0.500 [1 per cell]

Output
E_tot	-19.0	eV for the cell shown
mass density	6.21	Mg/m³
crystal system	tetragonal

(18)
Ho3Tl2Au: optimized geometry, PBE-GGA.

abc: 15.389 6.299 6.657
angles: 90.00 103.66 90.00
Space group C2/c (No. 15)
Inequivalent atoms, fractional coordinates:
Ho 0.000 0.134 0.250 [4 per cell]
Ho 0.160 0.402 0.589 [8 per cell]
Tl 0.167 0.104 0.053 [8 per cell]
Au 0.000 0.373 0.750 [4 per cell]

Output
formation energy from the elements	-0.4105	eV per atom
ΔE to the lowest computed polymorph	104.0	meV/atom
E_tot	-96.8	eV for the cell shown
mass density	11.66	Mg/m³
crystal system	monoclinic

(19)
SmTm4Sc15: optimized geometry, PBE-GGA.

abc: 4.699 4.699 23.513
angles: 90.00 90.00 90.00
Space group P4/mmm (No. 123)
Inequivalent atoms, fractional coordinates:
Sm 0.000 0.000 0.000 [1 per cell]
Tm 0.000 0.000 0.201 [2 per cell]
Tm 0.000 0.000 0.400 [2 per cell]
Sc 0.000 0.500 0.101 [4 per cell]
Sc 0.000 0.500 0.301 [4 per cell]
Sc 0.000 0.500 0.500 [2 per cell]
Sc 0.500 0.500 0.000 [1 per cell]
Sc 0.500 0.500 0.201 [2 per cell]
Sc 0.500 0.500 0.400 [2 per cell]

Output
formation energy from the elements	0.0573	eV per atom
E_tot	-116.4	eV for the cell shown
mass density	4.80	Mg/m³
crystal system	tetragonal

(20)
LaNiRu2: optimized geometry, PBE-GGA.

abc: 4.182 4.182 7.743
angles: 90.00 90.00 90.00
Space group I-4m2 (No. 119)
Inequivalent atoms, fractional coordinates:
La 0.000 0.000 0.000 [2 per cell]
Ni 0.000 0.500 0.750 [2 per cell]
Ru 0.000 0.000 0.500 [2 per cell]
Ru 0.000 0.500 0.250 [2 per cell]

Output
formation energy from the elements	0.2662	eV per atom
ΔE to the lowest computed polymorph	332.1	meV/atom
E_tot	-56.4	eV for the cell shown
mass density	9.81	Mg/m³
crystal system	tetragonal

(21)
Tb2SmBi: optimized geometry, PBE-GGA.

abc: 4.912 4.912 4.883
angles: 90.00 90.00 90.00
Space group P4/mmm (No. 123)
Inequivalent atoms, fractional coordinates:
Tb 0.000 0.500 0.000 [2 per cell]
Sm 0.000 0.000 0.500 [1 per cell]
Bi 0.500 0.500 0.500 [1 per cell]

Output
formation energy from the elements	-0.3731	eV per atom
ΔE to the lowest computed polymorph	73.8	meV/atom
E_tot	-19.4	eV for the cell shown
mass density	9.54	Mg/m³
crystal system	tetragonal

(22)
OsSe2Cl: optimized geometry, PBE-GGA.

abc: 3.425 3.425 7.274
angles: 90.00 90.00 90.00
Space group P4mm (No. 99)
Inequivalent atoms, fractional coordinates:
Os 0.000 0.000 0.000 [1 per cell]
Se 0.000 0.000 0.341 [1 per cell]
Se 0.500 0.500 0.123 [1 per cell]
Cl 0.500 0.500 0.725 [1 per cell]

Output
ΔE to the lowest computed polymorph	645.5	meV/atom
E_tot	-17.5	eV for the cell shown
mass density	7.46	Mg/m³
crystal system	tetragonal

(23)
TlCd2Si2: optimized geometry, PBE-GGA.

abc: 4.624 4.624 10.913
angles: 90.00 90.00 90.00
Space group I4/mmm (No. 139)
Inequivalent atoms, fractional coordinates:
Tl 0.000 0.000 0.000 [2 per cell]
Cd 0.000 0.500 0.250 [4 per cell]
Si 0.000 0.000 0.393 [4 per cell]

Output
ΔE to the lowest computed polymorph	0.0	meV/atom
E_tot	-27.8	eV for the cell shown
mass density	6.91	Mg/m³
crystal system	tetragonal

(24)
PmHo3Co8: optimized geometry, PBE-GGA.

abc: 5.0755 5.0755 24.9071
angles: 90.00 90.00 120.00
Space group R3m (No. 160, hexagonal axes)
Inequivalent atoms, fractional coordinates:
Pm 0.0000 0.0000 0.0000 [3 per cell]
Ho 0.0000 0.0000 0.3751 [3 per cell]
Ho 0.0000 0.0000 0.4997 [3 per cell]
Ho 0.0000 0.0000 0.8747 [3 per cell]
Co 0.0000 0.0000 0.1873 [3 per cell]
Co 0.0000 0.0000 0.6878 [3 per cell]
Co 0.0030 0.5015 0.4386 [9 per cell]
Co 0.1676 0.3352 0.2695 [9 per cell]

Output
formation energy from the elements	-0.1822	eV per atom
E_tot	-232.6	eV for the cell shown
mass density	9.96	Mg/m³
crystal system	trigonal

(25)
Mn2HOsRh: optimized geometry, PBE-GGA.

abc: 3.776 3.776 3.748
angles: 90.00 90.00 90.00
Space group P4/mmm (No. 123)
Inequivalent atoms, fractional coordinates:
Mn 0.000 0.500 0.000 [2 per cell]
H 0.000 0.000 0.000 [1 per cell]
Os 0.000 0.000 0.500 [1 per cell]
Rh 0.500 0.500 0.500 [1 per cell]

Output
ΔE to the lowest computed polymorph	11.9	meV/atom
E_tot	-39.9	eV for the cell shown
mass density	12.56	Mg/m³
crystal system	tetragonal